VASP calculation (PBE) on a relaxed structure of DyTlBi2.

abc: 8.6786 8.6786 8.6786
angles: 29.14 29.14 29.14
Fractional coordinates of all 4 atoms:
Dy (0.0000, 0.0000, 0.0000)
Tl (0.5000, 0.5000, 0.5000)
Bi (0.2566, 0.2566, 0.2566)
Bi (0.7434, 0.7434, 0.7434)

Values from the calculation:
formation energy from the elements: -0.20 eV/atom
electronic total energy: -15.5 eV for the cell shown
DOS(E_F): 0.613 states/eV/atom
polymorph energy (0 for the lowest one): 0.74 eV/f.u.